No. 1
! Be2Tl | the Alexandria database | PBE | optimized geometry; values from VASP
! Calculated density: 6.83 g/cm3
! ΔE_f: 1.1117 eV/atom
! M_tot: 0.00 μB/f.u.
! Electronic total energy: -2.161 eV/atom
&SYSTEM
  ibrav = 0, nat = 12, ntyp = 2
/
ATOMIC_SPECIES
Be 9.01 Be.upf
Tl 204.38 Tl.upf
CELL_PARAMETERS angstrom
6.003 0.000 0.000
0.000 6.003 0.000
0.000 0.000 6.003
ATOMIC_POSITIONS crystal
Be 0.104 0.104 0.104
Be 0.104 0.396 0.604
Be 0.396 0.604 0.104
Be 0.396 0.896 0.604
Be 0.604 0.104 0.396
Be 0.604 0.396 0.896
Be 0.896 0.604 0.396
Be 0.896 0.896 0.896
Tl 0.000 0.000 0.500
Tl 0.000 0.500 0.000
Tl 0.500 0.000 0.000
Tl 0.500 0.500 0.500

No. 2
! Be2Tl | the Alexandria database | PBE | optimized geometry; values from VASP
! Calculated density: 7.73 g/cm3
! ΔE_f: 0.5346 eV/atom
! M_tot: 0.00 μB/f.u.
! Electronic total energy: -2.738 eV/atom
&SYSTEM
  ibrav = 0, nat = 12, ntyp = 2
/
ATOMIC_SPECIES
Be 9.01 Be.upf
Tl 204.38 Tl.upf
CELL_PARAMETERS angstrom
10.632 0.000 0.000
0.000 3.542 0.000
-2.183 0.000 5.073
ATOMIC_POSITIONS crystal
Be 0.056 0.000 0.398
Be 0.085 0.500 0.662
Be 0.415 0.000 0.338
Be 0.444 0.500 0.602
Be 0.556 0.500 0.398
Be 0.585 0.000 0.662
Be 0.915 0.500 0.338
Be 0.944 0.000 0.602
Tl 0.175 0.500 0.183
Tl 0.325 0.000 0.817
Tl 0.675 0.000 0.183
Tl 0.825 0.500 0.817

No. 3
! BeTl | the Alexandria database | PBE | optimized geometry; values from VASP
! Calculated density: 9.10 g/cm3
! ΔE_f: 0.6669 eV/atom
! M_tot: 0.00 μB/f.u.
! Electronic total energy: -2.379 eV/atom
&SYSTEM
  ibrav = 0, nat = 12, ntyp = 2
/
ATOMIC_SPECIES
Be 9.01 Be.upf
Tl 204.38 Tl.upf
CELL_PARAMETERS angstrom
3.510 0.000 0.000
0.000 12.413 0.000
0.000 0.000 5.360
ATOMIC_POSITIONS crystal
Be 0.000 0.000 0.000
Be 0.000 0.149 0.765
Be 0.000 0.851 0.765
Be 0.500 0.351 0.265
Be 0.500 0.500 0.500
Be 0.500 0.649 0.265
Tl 0.000 0.183 0.249
Tl 0.000 0.500 0.086
Tl 0.000 0.817 0.249
Tl 0.500 0.000 0.586
Tl 0.500 0.317 0.749
Tl 0.500 0.683 0.749

No. 4
! BeTl2 | the Alexandria database | PBE | optimized geometry; values from VASP
! Calculated density: 9.23 g/cm3
! ΔE_f: 0.4277 eV/atom
! M_tot: 0.00 μB/f.u.
! Electronic total energy: -2.392 eV/atom
&SYSTEM
  ibrav = 0, nat = 12, ntyp = 2
/
ATOMIC_SPECIES
Be 9.01 Be.upf
Tl 204.38 Tl.upf
CELL_PARAMETERS angstrom
3.673 0.000 0.000
0.000 21.829 0.000
0.000 0.000 3.750
ATOMIC_POSITIONS crystal
Be 0.000 0.024 0.250
Be 0.000 0.976 0.750
Be 0.500 0.476 0.750
Be 0.500 0.524 0.250
Tl 0.000 0.303 0.750
Tl 0.000 0.429 0.250
Tl 0.000 0.571 0.750
Tl 0.000 0.697 0.250
Tl 0.500 0.071 0.750
Tl 0.500 0.197 0.250
Tl 0.500 0.803 0.750
Tl 0.500 0.929 0.250

No. 5
! BeTl | the Alexandria database | PBE | optimized geometry; values from VASP
! Calculated density: 7.52 g/cm3
! ΔE_f: 0.5953 eV/atom
! M_tot: 0.00 μB/f.u.
! Electronic total energy: -2.451 eV/atom
&SYSTEM
  ibrav = 0, nat = 16, ntyp = 2
/
ATOMIC_SPECIES
Be 9.01 Be.upf
Tl 204.38 Tl.upf
CELL_PARAMETERS angstrom
10.550 0.000 0.000
0.000 10.550 0.000
0.000 0.000 3.386
ATOMIC_POSITIONS crystal
Be 0.186 0.729 0.000
Be 0.229 0.314 0.500
Be 0.271 0.186 0.000
Be 0.314 0.771 0.500
Be 0.686 0.229 0.500
Be 0.729 0.814 0.000
Be 0.771 0.686 0.500
Be 0.814 0.271 0.000
Tl 0.041 0.262 0.000
Tl 0.238 0.541 0.500
Tl 0.262 0.959 0.000
Tl 0.459 0.238 0.500
Tl 0.541 0.762 0.500
Tl 0.738 0.041 0.000
Tl 0.762 0.459 0.500
Tl 0.959 0.738 0.000

No. 6
! Be2Tl | the Alexandria database | PBE | optimized geometry; values from VASP
! Calculated density: 7.52 g/cm3
! ΔE_f: 0.3265 eV/atom
! M_tot: 0.00 μB/f.u.
! Electronic total energy: -2.946 eV/atom
&SYSTEM
  ibrav = 0, nat = 12, ntyp = 2
/
ATOMIC_SPECIES
Be 9.01 Be.upf
Tl 204.38 Tl.upf
CELL_PARAMETERS angstrom
3.276 0.000 0.000
0.000 19.858 0.000
0.000 0.000 3.020
ATOMIC_POSITIONS crystal
Be 0.000 0.037 0.250
Be 0.000 0.462 0.250
Be 0.000 0.538 0.750
Be 0.000 0.963 0.750
Be 0.500 0.038 0.750
Be 0.500 0.463 0.750
Be 0.500 0.537 0.250
Be 0.500 0.962 0.250
Tl 0.000 0.331 0.750
Tl 0.000 0.669 0.250
Tl 0.500 0.169 0.250
Tl 0.500 0.831 0.750

Question: Look up the M_tot of the third one.
Answer: 0.00 μB/f.u.

Question: Number 6 is which compound?
Answer: Be2Tl

Please write out number 6 again, unchanged.
! Be2Tl | the Alexandria database | PBE | optimized geometry; values from VASP
! Calculated density: 7.52 g/cm3
! ΔE_f: 0.3265 eV/atom
! M_tot: 0.00 μB/f.u.
! Electronic total energy: -2.946 eV/atom
&SYSTEM
  ibrav = 0, nat = 12, ntyp = 2
/
ATOMIC_SPECIES
Be 9.01 Be.upf
Tl 204.38 Tl.upf
CELL_PARAMETERS angstrom
3.276 0.000 0.000
0.000 19.858 0.000
0.000 0.000 3.020
ATOMIC_POSITIONS crystal
Be 0.000 0.037 0.250
Be 0.000 0.462 0.250
Be 0.000 0.538 0.750
Be 0.000 0.963 0.750
Be 0.500 0.038 0.750
Be 0.500 0.463 0.750
Be 0.500 0.537 0.250
Be 0.500 0.962 0.250
Tl 0.000 0.331 0.750
Tl 0.000 0.669 0.250
Tl 0.500 0.169 0.250
Tl 0.500 0.831 0.750